Computed, not measured: a crystal of OsBr relaxed with PBEsol at the meta-GGA SCAN level of DFT.

Summary:
* ΔE to the lowest computed polymorph: 0.102 eV/atom
* total magnetic moment: 0.0 Bohr magnetons per cell
* formation energy (no corrections): 925 meV per atom

Unit cell a=2.999 b=3.428 c=8.904 alpha=101.10 beta=99.70 gamma=90.00
Atoms (fractional coordinates):
Os: 0.455 0.705 0.910
Os: 0.545 0.295 0.090
Br: 0.852 0.102 0.704
Br: 0.148 0.898 0.296


Computed, not measured: a crystal of OsBr relaxed with PBEsol at the meta-GGA SCAN level of DFT.

Summary:
* ΔE to the lowest computed polymorph: 0.000 eV/atom
* total magnetic moment: 0.0 Bohr magnetons per cell
* formation energy (no corrections): 823 meV per atom

Unit cell a=2.948 b=6.509 c=7.116 alpha=70.92 beta=78.05 gamma=76.91
Atoms (fractional coordinates):
Br: 0.968 0.174 0.889
Br: 0.675 0.640 0.009
Br: 0.404 0.687 0.505
Os: 0.277 0.292 0.153
Os: 0.077 0.323 0.522
Os: 0.764 0.051 0.421


Computed, not measured: a crystal of Os3Br relaxed with PBEsol at the meta-GGA SCAN level of DFT.

Summary:
* ΔE to the lowest computed polymorph: 0.681 eV/atom
* total magnetic moment: 0.0 Bohr magnetons per cell
* formation energy (no corrections): 1614 meV per atom

Unit cell a=4.085 b=4.594 c=4.085 alpha=63.60 beta=90.00 gamma=116.40
Atoms (fractional coordinates):
Br: 0.000 0.000 0.000
Os: 0.250 0.500 0.250
Os: 0.500 0.000 0.500
Os: 0.750 0.500 0.750


Computed, not measured: a crystal of OsBr relaxed with PBEsol at the meta-GGA SCAN level of DFT.

Summary:
* ΔE to the lowest computed polymorph: 1.400 eV/atom
* total magnetic moment: 0.0 Bohr magnetons per cell
* formation energy (no corrections): 2223 meV per atom

Unit cell a=3.673 b=3.673 c=3.673 alpha=60.00 beta=60.00 gamma=60.00
Atoms (fractional coordinates):
Os: 0.500 0.500 0.500
Br: 0.000 0.000 0.000


Computed, not measured: a crystal of OsBr3 relaxed with PBEsol at the meta-GGA SCAN level of DFT.

Summary:
* total magnetic moment: 0.0 Bohr magnetons per cell
* formation energy (no corrections): 813 meV per atom

Unit cell a=3.543 b=3.543 c=8.085 alpha=90.00 beta=90.00 gamma=120.00
Atoms (fractional coordinates):
Os: 0.333 0.667 0.500
Br: 0.000 0.000 0.308
Br: 0.000 0.000 0.692
Br: 0.333 0.667 0.000


Computed, not measured: a crystal of OsBr3 relaxed with PBEsol at the meta-GGA SCAN level of DFT.

Summary:
* total magnetic moment: 0.0 Bohr magnetons per cell
* formation energy (no corrections): 361 meV per atom

Unit cell a=3.703 b=3.703 c=8.050 alpha=76.70 beta=76.70 gamma=60.00
Atoms (fractional coordinates):
Os: 0.000 0.000 0.000
Br: 0.722 0.722 0.833
Br: 0.500 0.500 0.500
Br: 0.278 0.278 0.167


Computed, not measured: a crystal of Os3Br relaxed with PBEsol at the meta-GGA SCAN level of DFT.

Summary:
* ΔE to the lowest computed polymorph: 2.744 eV/atom
* total magnetic moment: 2.4 Bohr magnetons per cell
* formation energy (no corrections): 3677 meV per atom

Unit cell a=4.504 b=4.504 c=4.504 alpha=90.00 beta=90.00 gamma=90.00
Each line ends with the local moment (μB).
Atoms (fractional coordinates):
Br: 0.000 0.000 0.000  -0.02
Os: 0.500 0.000 0.000  0.74
Os: 0.000 0.500 0.000  0.74
Os: 0.000 0.000 0.500  0.74


Computed, not measured: a crystal of Os3Br relaxed with PBEsol at the meta-GGA SCAN level of DFT.

Summary:
* ΔE to the lowest computed polymorph: 0.270 eV/atom
* total magnetic moment: 0.0 Bohr magnetons per cell
* formation energy (no corrections): 1203 meV per atom

Unit cell a=2.712 b=2.712 c=10.703 alpha=90.00 beta=90.00 gamma=119.95
Atoms (fractional coordinates):
Br: 0.000 0.000 0.000
Os: 0.500 0.500 0.707
Os: 0.000 0.000 0.500
Os: 0.500 0.500 0.293


- total magnetic moment of number 7 (Os3Br)?
  2.4 Bohr magnetons per cell